No. 1
Density functional theory data (GGA-PBEsol) for a geometry-optimized Ba3AlSb structure.

Results
* symmetry: Pm-3m, No. 221
* uncorrected formation energy: -0.081 eV per atom

a = 6.515 Å, b = 6.515 Å, c = 6.515 Å
α = 90.00°, β = 90.00°, γ = 90.00°
Positions (direct):
Ba 0.000 0.000 0.500
Ba 0.000 0.500 0.000
Ba 0.500 0.000 0.000
Al 0.500 0.500 0.500
Sb 0.000 0.000 0.000



No. 2
Density functional theory data (GGA-PBEsol) for a geometry-optimized Ba2AlSb structure.

Results
* symmetry: Imm2, No. 44
* uncorrected formation energy: -0.573 eV per atom

a = 6.707 Å, b = 6.707 Å, c = 6.707 Å
α = 142.87°, β = 132.49°, γ = 61.79°
Positions (direct):
Ba 0.000 0.000 0.000
Ba 0.712 0.212 0.500
Al 0.438 0.438 0.000
Sb 0.280 0.780 0.500



No. 3
Density functional theory data (GGA-PBEsol) for a geometry-optimized Ba3AlSb3 structure.

Results
* symmetry: Cmce, No. 64
* uncorrected formation energy: -0.904 eV per atom

a = 11.119 Å, b = 11.119 Å, c = 14.049 Å
α = 90.00°, β = 90.00°, γ = 37.59°
Positions (direct):
Ba 0.021 0.630 0.129
Ba 0.130 0.521 0.629
Ba 0.186 0.814 0.853
Ba 0.314 0.686 0.353
Ba 0.370 0.979 0.129
Ba 0.479 0.870 0.629
Ba 0.521 0.130 0.371
Ba 0.630 0.021 0.871
Ba 0.686 0.314 0.647
Ba 0.814 0.186 0.147
Ba 0.870 0.479 0.371
Ba 0.979 0.370 0.871
Al 0.085 0.085 0.500
Al 0.415 0.415 0.000
Al 0.585 0.585 0.000
Al 0.915 0.915 0.500
Sb 0.041 0.640 0.379
Sb 0.140 0.541 0.879
Sb 0.206 0.794 0.602
Sb 0.294 0.706 0.102
Sb 0.360 0.959 0.379
Sb 0.459 0.860 0.879
Sb 0.541 0.140 0.121
Sb 0.640 0.041 0.621
Sb 0.706 0.294 0.898
Sb 0.794 0.206 0.398
Sb 0.860 0.459 0.121
Sb 0.959 0.360 0.621